CeCdSn | PBE | optimized geometry

Computed properties:
As for the total magnetic moment: 0.9 Bohr magnetons per cell. Its density of states at the Fermi level is 2.17 states/eV/atom. The formation energy comes out at -1.16 eV per formula unit.

Cell lengths 5.0598, 5.0598, 3.5283 Å; angles 90.00, 90.00, 120.00 degrees
Space group P3m1 (No. 156)
Unique sites:
Ce  0.0000  0.0000  0.0000 [1 per cell]
Cd  0.3333  0.6667  0.4985 [1 per cell]
Sn  0.6667  0.3333  0.5010 [1 per cell]

***

CrIrBr2 | PBE | optimized geometry

Computed properties:
The value obtained for the energy above the most stable polymorph in this dataset is 0.583 eV per formula unit. As for the total magnetic moment: 3.0 Bohr magnetons per cell. Its density of states at the Fermi level is 0.33 states/eV/atom. For the uncorrected formation energy, the calculation gives 0.16 eV per atom.

Cell lengths 3.510, 3.610, 7.572 Å; angles 90.00, 95.65, 90.00 degrees
Space group Pm (No. 6)
Unique sites:
Cr  0.000  0.000  0.000 [1 per cell]
Ir  0.534  0.500  0.116 [1 per cell]
Br  0.248  0.500  0.796 [1 per cell]
Br  0.695  0.000  0.350 [1 per cell]

***

Pa2GaAg | PBE | optimized geometry

Computed properties:
The value obtained for the energy above the most stable polymorph in this dataset is 0.000 eV per formula unit. As for the total magnetic moment: 0.0 Bohr magnetons per cell. Its density of states at the Fermi level is 1.51 states/eV/atom. The formation energy comes out at -0.16 eV per formula unit.

Cell lengths 4.331, 4.331, 4.611 Å; angles 90.00, 90.00, 90.00 degrees
Space group P4/mmm (No. 123)
Unique sites:
Pa  0.000  0.500  0.000 [2 per cell]
Ga  0.000  0.000  0.500 [1 per cell]
Ag  0.500  0.500  0.500 [1 per cell]

***

KSiPt | PBE | optimized geometry

Computed properties:
The value obtained for the energy above the most stable polymorph in this dataset is 0.535 eV per formula unit. As for the total magnetic moment: 0.0 Bohr magnetons per cell. Its density of states at the Fermi level is 0.44 states/eV/atom. For the uncorrected formation energy, the calculation gives -0.28 eV per atom.

Cell lengths 3.059, 3.520, 12.236 Å; angles 90.00, 90.00, 90.00 degrees
Space group Imm2 (No. 44)
Unique sites:
K  0.000  0.000  0.000 [2 per cell]
Si  0.000  0.000  0.288 [2 per cell]
Pt  0.000  0.000  0.716 [2 per cell]

***

Rb2TlBrO | PBE | optimized geometry

Computed properties:
As for the total magnetic moment: 0.0 Bohr magnetons per cell. Its density of states at the Fermi level is 0.23 states/eV/atom. For the uncorrected formation energy, the calculation gives -1.05 eV per atom.

Cell lengths 5.750, 5.750, 5.090 Å; angles 90.00, 90.00, 90.00 degrees
Space group P4/mmm (No. 123)
Unique sites:
Rb  0.000  0.500  0.000 [2 per cell]
Tl  0.000  0.000  0.500 [1 per cell]
Br  0.500  0.500  0.500 [1 per cell]
O  0.000  0.000  0.000 [1 per cell]

***

TiBe3H | PBE | optimized geometry

Computed properties:
The value obtained for the energy above the most stable polymorph in this dataset is 0.000 eV per formula unit. As for the total magnetic moment: 0.0 Bohr magnetons per cell. Its density of states at the Fermi level is 0.32 states/eV/atom.

Cell lengths 3.533, 3.533, 3.533 Å; angles 90.00, 90.00, 90.00 degrees
Space group Pm-3m (No. 221)
Unique sites:
Ti  0.000  0.000  0.000 [1 per cell]
Be  0.000  0.500  0.500 [3 per cell]
H  0.500  0.500  0.500 [1 per cell]

***

OsIF6 | PBE | optimized geometry

Computed properties:
As for the total magnetic moment: 2.0 Bohr magnetons per cell. Its density of states at the Fermi level is 0.00 states/eV/atom. For the uncorrected formation energy, the calculation gives -1.43 eV per atom.

Cell lengths 10.270, 5.899, 5.742 Å; angles 90.00, 115.39, 90.00 degrees
Space group C2/m (No. 12)
Unique sites:
Os  0.000  0.000  0.000 [2 per cell]
I  0.000  0.500  0.500 [2 per cell]
F  0.115  0.000  0.816 [4 per cell]
F  0.115  0.230  0.228 [8 per cell]

***

SiMoSe2 | PBE | optimized geometry

Computed properties:
As for the total magnetic moment: 1.1 Bohr magnetons per cell. Its density of states at the Fermi level is 0.92 states/eV/atom. For the uncorrected formation energy, the calculation gives 0.62 eV per atom.

Cell lengths 6.456, 6.456, 6.456 Å; angles 90.00, 90.00, 90.00 degrees
Space group F-43m (No. 216)
Unique sites:
Si  0.000  0.000  0.000 [4 per cell]
Mo  0.250  0.250  0.250 [4 per cell]
Se  0.000  0.000  0.500 [4 per cell]
Se  0.250  0.250  0.750 [4 per cell]

***

Look up the total magnetic moment of the first one.
0.9 Bohr magnetons per cell

***

The highest total magnetic moment belongs to which entry?
CrIrBr2

***

Which of these has the highest total magnetic moment?
CrIrBr2